No. 1
Compound: Hf2MgGaH
Source: Alexandria via LeMat-Bulk
Functional: PBE-GGA
Structure: relaxed

Properties
Symmetry: P4/mmm, No. 123
D(E_F) in states/eV per cell: 3.24
Electronic total energy in eV/atom: -5.772

Cell and atoms, written as POSCAR:
```
Hf2MgGaH
1.0
-1.087 2.910 -2.900
-4.106 -0.881 0.655
-0.159 3.093 3.164
Ga Mg Hf H
1 1 2 1
Cartesian
-2.676 2.562 0.459
-0.079 1.547 1.582
-2.053 -0.440 0.327
-0.543 1.455 -1.450
0.000 0.000 0.000
```

No. 2
Compound: BaCu2Cl
Source: Alexandria via LeMat-Bulk
Functional: PBE-GGA
Structure: relaxed

Properties
Symmetry: P4/mmm, No. 123
Uncorrected formation energy in eV per atom: -0.343
D(E_F) in states/eV per cell: 1.04
Electronic total energy in eV/atom: -3.333
Distance to the lowest polymorph of the same formula in meV/atom: 208

Cell and atoms, written as POSCAR:
```
BaCu2Cl
1.0
4.184 0.359 0.000
-0.360 4.183 0.000
0.000 0.000 5.842
Cu Cl Ba
2 1 1
Cartesian
0.000 0.000 0.000
1.912 2.271 0.000
-0.180 2.092 2.921
2.092 0.179 2.921
```

No. 3
Compound: CsSb2SI
Source: Alexandria via LeMat-Bulk
Functional: PBE-GGA
Structure: relaxed

Properties
Symmetry: P4/mmm, No. 123
Uncorrected formation energy in eV per atom: 1.190
D(E_F) in states/eV per cell: 6.74
Electronic total energy in eV/atom: -1.765
Distance to the lowest polymorph of the same formula in meV/atom: 1285

Cell and atoms, written as POSCAR:
```
CsSb2SI
1.0
8.362 0.000 0.000
0.000 8.362 0.000
0.000 0.000 7.120
Sb I Cs S
2 1 1 1
Cartesian
4.181 0.000 0.000
0.000 4.181 0.000
0.000 0.000 3.560
0.000 0.000 0.000
4.181 4.181 3.560
```

No. 4
Compound: Zr2CdTc
Source: Alexandria via LeMat-Bulk
Functional: PBE-GGA
Structure: relaxed

Properties
DFT formation energy in meV/atom: -120
Symmetry: Cmmm, No. 65
D(E_F) in states/eV per cell: 2.85
Electronic total energy in eV/atom: -7.215

Cell and atoms, written as POSCAR:
```
Zr2CdTc
1.0
-1.330 1.487 2.338
-0.128 -3.031 0.491
8.064 0.364 4.356
Zr Cd Tc
2 1 1
Cartesian
7.801 0.352 4.214
4.295 0.194 2.320
1.287 -0.681 2.503
5.319 -0.499 4.681
```

No. 5
Compound: TlCuPd2
Source: Alexandria via LeMat-Bulk
Functional: PBE-GGA
Structure: relaxed

Properties
DFT formation energy in meV/atom: -50
Symmetry: F-43m, No. 216
D(E_F) in states/eV per cell: 1.62
Electronic total energy in eV/atom: -4.262

Cell and atoms, written as POSCAR:
```
TlCuPd2
1.0
4.539 0.000 0.000
2.270 3.931 0.000
2.270 1.310 3.706
Pd Tl Cu
2 1 1
Cartesian
2.270 1.310 0.927
6.809 3.931 0.000
4.539 2.621 1.853
6.809 3.931 2.779
```

No. 6
Compound: Ir4Cl3
Source: Alexandria via LeMat-Bulk
Functional: PBE-GGA
Structure: relaxed

Properties
Symmetry: P6/mmm, No. 191
Uncorrected formation energy in eV per atom: 1.385
D(E_F) in states/eV per cell: 11.14
Electronic total energy in eV/atom: -4.469

Cell and atoms, written as POSCAR:
```
Ir4Cl3
1.0
1.324 4.011 -1.766
-4.444 -0.828 0.722
0.688 3.305 8.020
Cl Ir
3 4
Cartesian
0.662 2.005 -0.883
-2.222 -0.414 0.361
-1.560 1.591 -0.522
-0.255 4.050 3.073
0.437 2.100 5.096
-2.178 2.437 3.903
0.251 1.205 2.924
```

Which formula does entry 5 have?
TlCuPd2

Among the records above, which one has the highest D(E_F)?
Ir4Cl3